Record 1
The following is a PBE-GGA calculation of crystalline NaUSe2 at its relaxed geometry, from the Alexandria database.

Summary:
* D(E_F): 1.55 states/eV/atom
* SG: P4/mmm
* total magnetization: 2.875 μB per formula unit
* formation energy from raw total energies: -1.060 eV per atom

Cell lengths 3.552, 3.552, 7.452 Å; angles 90.00, 90.00, 90.00 degrees
Element x y z (fractional)
U 0.500 0.500 0.000
Se 0.000 0.000 0.227
Se 0.000 0.000 0.773
Na 0.500 0.500 0.500

=====

Record 2
The following is a PBE-GGA calculation of crystalline Cu2SbSe2 at its relaxed geometry, from the Alexandria database.

Summary:
* D(E_F): 0.39 states/eV/atom
* excess energy over the best structure of this formula in the dataset: 0.006 eV per atom
* SG: Pm
* total magnetization: 0.000 μB per formula unit
* formation energy from raw total energies: -0.036 eV per atom

Cell lengths 4.333, 4.066, 6.419 Å; angles 99.77, 90.00, 90.00 degrees
Element x y z (fractional)
Cu 0.200 0.698 0.468
Cu 0.700 0.065 0.536
Se 0.200 0.259 0.686
Se 0.700 0.760 0.176
Sb 0.200 0.217 0.134

=====

Record 3
The following is a PBE-GGA calculation of crystalline CaLaPrHg at its relaxed geometry, from the Alexandria database.

Summary:
* D(E_F): 1.43 states/eV/atom
* excess energy over the best structure of this formula in the dataset: 0.000 eV per atom
* SG: P4mm
* total magnetization: 0.000 μB per formula unit
* formation enthalpy at 0 K: -242.7 meV per atom

Cell lengths 3.754, 3.754, 9.485 Å; angles 90.00, 90.00, 90.00 degrees
Element x y z (fractional)
Ca 0.500 0.500 0.775
Hg 0.000 0.000 0.575
La 0.500 0.500 0.353
Pr 0.000 0.000 0.080

=====

Record 4
The following is a PBE-GGA calculation of crystalline LaNbH at its relaxed geometry, from the Alexandria database.

Summary:
* D(E_F): 0.69 states/eV/atom
* excess energy over the best structure of this formula in the dataset: 0.000 eV per atom
* SG: P4/mmm
* total magnetization: 0.000 μB per formula unit

Cell lengths 3.017, 3.017, 5.585 Å; angles 90.00, 90.00, 90.00 degrees
Element x y z (fractional)
Nb 0.000 0.000 0.000
H 0.500 0.500 0.000
La 0.500 0.500 0.500